Material: AcCePr2
Method: DFT, PBE
State: relaxed

Structure (POSCAR):
```
AcCePr2
1.0
-1.176 5.771 -0.980
-3.179 1.628 -4.784
-5.559 2.070 0.674
Pr Ce Ac
2 1 1
Direct
0.250 0.250 0.250
0.750 0.750 0.750
0.000 0.000 0.000
0.500 0.500 0.500
```

* polymorph energy (0 for the lowest one): 12.3 kJ per mole of atoms
* DOS(E_F): 12.91 states/eV per cell


Material: UZnRh5
Method: DFT, PBE
State: relaxed

Structure (POSCAR):
```
UZnRh5
1.0
5.363 0.382 1.289
2.064 4.965 1.289
3.704 2.667 10.216
Rh U Zn
10 2 2
Direct
0.276 0.454 0.494
0.548 0.928 0.266
0.454 0.276 0.994
0.724 0.546 0.506
0.928 0.548 0.766
0.072 0.928 0.250
0.928 0.072 0.750
0.546 0.724 0.006
0.452 0.072 0.734
0.072 0.452 0.234
0.611 0.389 0.250
0.389 0.611 0.750
0.000 0.000 0.500
0.000 0.000 0.000
```

* uncorrected energy: -103.26 eV for the cell shown
* DOS(E_F): 15.61 states/eV per cell


Material: Ce2PrP3
Method: DFT, PBE
State: relaxed

Structure (POSCAR):
```
Ce2PrP3
1.0
3.949 0.000 -1.195
-0.724 5.280 -2.390
0.008 0.007 7.150
P Ce Pr
3 2 1
Direct
0.828 0.328 0.156
0.172 0.672 0.844
0.500 0.000 0.500
0.166 0.166 0.832
0.834 0.834 0.168
0.500 0.500 0.500
```

* uncorrected energy: -41.91 eV for the cell shown
* DOS(E_F): 9.62 states/eV per cell


Material: PrTm2Sc
Method: DFT, PBE
State: relaxed

Structure (POSCAR):
```
PrTm2Sc
1.0
5.559 0.000 0.000
2.780 4.815 0.000
2.780 1.605 4.539
Tm Pr Sc
2 1 1
Direct
0.750 0.750 0.750
0.250 0.250 0.250
0.000 0.000 0.000
0.500 0.500 0.500
```

* polymorph energy (0 for the lowest one): 11.2 kJ per mole of atoms
* DOS(E_F): 7.49 states/eV per cell


no.,spin magnetization (μB/cell)
1,2.57
2,0.00
3,1.10
4,0.01